(1)
Below is an optimized crystal structure of LiCeMo2O8, with properties calculated at the PBE with a Hubbard U level.

Total DFT energy (no corrections) in eV/cell: -86.81
Symmetry: No. 82

Lattice parameters (Å, degrees): 6.836 6.836 6.836 134.55 134.55 66.23
Each line ends with the local moment (μB).
Fractional coordinates of all 12 atoms:
Li  0.750  0.250  0.500  0.00
Ce  0.500  0.500  0.000  0.74
Mo  0.250  0.750  0.500  0.05
Mo  0.000  0.000  0.000  0.29
O  0.403  0.507  0.584  -0.01
O  0.923  0.819  0.416  -0.01
O  0.077  0.166  0.408  -0.02
O  0.758  0.668  0.592  -0.02
O  0.834  0.242  0.910  -0.02
O  0.332  0.923  0.090  -0.02
O  0.181  0.597  0.104  -0.01
O  0.493  0.077  0.896  -0.01

***

(2)
Below is an optimized crystal structure of Li2CeMoO6, with properties calculated at the PBE with a Hubbard U level.

Total DFT energy (no corrections) in eV/cell: -69.30
Symmetry: No. 146

Lattice parameters (Å, degrees): 5.351 5.351 5.714 62.08 62.08 59.99
Fractional coordinates of all 10 atoms:
Li  0.522  0.522  0.434
Li  0.031  0.031  0.906
Ce  0.806  0.806  0.583
Mo  0.315  0.315  0.056
O  0.569  0.231  0.242
O  0.231  0.958  0.242
O  0.958  0.569  0.242
O  0.404  0.699  0.770
O  0.699  0.127  0.770
O  0.127  0.404  0.770

***

| no. | Fermi-level density of states (states/eV/cell) |
| --- | --- |
| 1 | 7.25 |
| 2 | 0.00 |